[1]
A PBEsol-optimized structure of AlTcCl2, computed with SCAN.

Lattice parameters (Å, degrees): 3.0782 3.0782 8.8535 90.00 90.00 123.89
Atoms (fractional coordinates):
Al 0.0000 0.0000 0.0000
Tc 0.0000 0.0000 0.5000
Cl 0.5000 0.5000 0.2872
Cl 0.5000 0.5000 0.7128

Summary:
Crystal system: orthorhombic
Calculated density (Mg/m³): 4.67
Offset from the most stable computed form (meV/atom): 0
Formation energy without anion corrections (eV/atom): 0.14
V (Å³/cell): 69.6
N(E_F) (states/eV per atom): 0.569



[2]
A PBEsol-optimized structure of AlTeCl2, computed with SCAN.

Lattice parameters (Å, degrees): 5.3657 5.3657 3.1637 90.00 90.00 108.07
Atoms (fractional coordinates):
Al 0.0000 0.0000 0.0000
Te 0.5000 0.5000 0.0000
Cl 0.0000 0.5000 0.5000
Cl 0.5000 0.0000 0.5000

Summary:
Crystal system: orthorhombic
Calculated density (Mg/m³): 4.32
Formation energy without anion corrections (eV/atom): 0.06
V (Å³/cell): 86.6
N(E_F) (states/eV per atom): 0.481



[3]
A PBEsol-optimized structure of AlTeCl2, computed with SCAN.

Lattice parameters (Å, degrees): 5.4813 5.4813 5.4813 133.75 133.75 67.48
Atoms (fractional coordinates):
Al 0.0000 0.0000 0.0000
Te 0.5000 0.5000 0.0000
Cl 0.2500 0.7500 0.5000
Cl 0.7500 0.2500 0.5000

Summary:
Crystal system: tetragonal
Calculated density (Mg/m³): 4.43
Formation energy without anion corrections (eV/atom): 0.06
V (Å³/cell): 84.5
N(E_F) (states/eV per atom): 0.461



> Among the records above, which one has the lowest V?

AlTcCl2